# 1
DFT (PBE-GGA) results for GeAuO after structural relaxation.

The structure belongs to space group C2/m (No. 12); the cell edges are 13.335, 3.042 and 5.656 Å and the angles 90.00°, 99.28° and 90.00°. The asymmetric unit holds Ge at (0.147, 0.000, 0.473), Au at (0.040, 0.000, 0.803) and O at (0.202, 0.500, 0.337).

For the theoretical density, the calculation gives 8.378 g cm⁻³. The electronic total energy is -4.90 eV/atom. The magnetic moment comes out at 0.0 μB per cell. The calculation puts the formation energy without anion corrections at -0.62 eV/atom. As for the energy relative to the lowest polymorph listed for this composition: 29 meV per atom.

***

# 2
DFT (PBE-GGA) results for GeAuO3 after structural relaxation.

The structure belongs to space group Pm-3m (No. 221); the cell edges are 3.767, 3.767 and 3.767 Å and the angles 90.00°, 90.00° and 90.00°. The asymmetric unit holds Ge at (0.000, 0.000, 0.000), Au at (0.500, 0.500, 0.500) and O at (0.000, 0.000, 0.500).

For the theoretical density, the calculation gives 9.865 g cm⁻³. The electronic total energy is -4.92 eV/atom. The magnetic moment comes out at 0.0 μB per cell. The calculation puts the formation energy without anion corrections at -0.37 eV/atom.

***

# 3
DFT (PBE-GGA) results for GeAu2O after structural relaxation.

The structure belongs to space group Fm-3m (No. 225); the cell edges are 6.288, 6.288 and 6.288 Å and the angles 90.00°, 90.00° and 90.00°. The asymmetric unit holds Ge at (0.000, 0.000, 0.000), Au at (0.250, 0.250, 0.250) and O at (0.000, 0.000, 0.500).

For the theoretical density, the calculation gives 12.894 g cm⁻³. The electronic total energy is -3.75 eV/atom. The magnetic moment comes out at 0.0 μB per cell. The calculation puts the formation energy without anion corrections at 0.29 eV/atom. As for the energy relative to the lowest polymorph listed for this composition: 119 meV per atom.

***

# 4
DFT (PBE-GGA) results for GeAu2O after structural relaxation.

The structure belongs to space group I-42d (No. 122); the cell edges are 6.167, 6.167 and 7.641 Å and the angles 90.00°, 90.00° and 90.00°. The asymmetric unit holds Ge at (0.000, 0.000, 0.000), Au at (0.222, 0.750, 0.625) and O at (0.000, 0.000, 0.500).

For the theoretical density, the calculation gives 11.031 g cm⁻³. The electronic total energy is -3.87 eV/atom. The magnetic moment comes out at 0.0 μB per cell. The calculation puts the formation energy without anion corrections at 0.17 eV/atom. As for the energy relative to the lowest polymorph listed for this composition: 0 meV per atom.

***

# 5
DFT (PBE-GGA) results for GeAuO after structural relaxation.

The structure belongs to space group C2/m (No. 12); the cell edges are 10.832, 3.077 and 8.163 Å and the angles 90.00°, 125.25° and 90.00°. The asymmetric unit holds Ge at (0.162, 0.000, 0.299), Au at (0.124, 0.000, 0.937) and O at (0.208, 0.000, 0.584).

For the theoretical density, the calculation gives 8.538 g cm⁻³. The electronic total energy is -4.93 eV/atom. The magnetic moment comes out at 0.0 μB per cell. The calculation puts the formation energy without anion corrections at -0.65 eV/atom. As for the energy relative to the lowest polymorph listed for this composition: 0 meV per atom.

***

# 6
DFT (PBE-GGA) results for GeAuO after structural relaxation.

The structure belongs to space group I4mm (No. 107); the cell edges are 4.049, 4.049 and 6.528 Å and the angles 90.00°, 90.00° and 90.00°. The asymmetric unit holds Ge at (0.000, 0.000, 0.000), Au at (0.000, 0.000, 0.394) and O at (0.000, 0.000, 0.730).

For the theoretical density, the calculation gives 8.863 g cm⁻³. The electronic total energy is -4.34 eV/atom. The magnetic moment comes out at 0.0 μB per cell. The calculation puts the formation energy without anion corrections at -0.05 eV/atom. As for the energy relative to the lowest polymorph listed for this composition: 593 meV per atom.

***

# 7
DFT (PBE-GGA) results for GeAuO3 after structural relaxation.

The structure belongs to space group Pm-3m (No. 221); the cell edges are 4.063, 4.063 and 4.063 Å and the angles 90.00°, 90.00° and 90.00°. The asymmetric unit holds Ge at (0.000, 0.000, 0.000), Au at (0.500, 0.500, 0.500) and O at (0.000, 0.500, 0.500).

For the theoretical density, the calculation gives 7.861 g cm⁻³. The electronic total energy is -4.35 eV/atom. The magnetic moment comes out at 0.0 μB per cell. The calculation puts the formation energy without anion corrections at 0.20 eV/atom.

***

# 8
DFT (PBE-GGA) results for GeP2AuO8 after structural relaxation.

The structure belongs to space group C2/m (No. 12); the cell edges are 8.107, 5.185 and 7.268 Å and the angles 90.00°, 96.33° and 90.00°. The asymmetric unit holds Ge at (0.000, 0.000, 0.000), P at (0.167, 0.500, 0.208), Au at (0.000, 0.000, 0.500), O at (0.052, 0.256, 0.188), O at (0.219, 0.000, 0.947) and O at (0.246, 0.000, 0.593).

For the theoretical density, the calculation gives 5.026 g cm⁻³. The electronic total energy is -6.45 eV/atom. The magnetic moment comes out at 1.8 μB per cell. The calculation puts the formation energy without anion corrections at -1.58 eV/atom.